(1)
VASP calculation (PBE) on an optimized crystal structure of Be2PPb.

Cell: 7.111 3.430 6.017 Å, 90.00 106.83 90.00°
Space group Cm (No. 8)
Symmetry-distinct sites (fractional):
Be (0.000, 0.000, 0.000)
Be (0.244, 0.500, 0.112)
P (0.261, 0.000, 0.895)
Pb (0.028, 0.500, 0.412)

Properties
Energy relative to the lowest polymorph listed for this composition = 31.0 meV per atom
M_tot = 0.00 μB per cell
Energy relative to the elements = 0.18 eV/atom

(2)
VASP calculation (PBE) on an optimized crystal structure of TbNbIO4.

Cell: 12.683 6.499 6.992 Å, 90.00 105.09 90.00°
Space group C2/m (No. 12)
Symmetry-distinct sites (fractional):
Tb (0.208, 0.000, 0.341)
Nb (0.123, 0.000, 0.745)
I (0.032, 0.500, 0.198)
O (0.028, 0.000, 0.307)
O (0.181, 0.221, 0.622)
O (0.182, 0.000, 0.016)

Properties
ΔE_f (raw) = -2.490 eV per atom
M_tot = 0.00 μB per cell

Q: What is the M_tot in the second record?
A: 0.00 μB per cell